[1]
DFT (GGA-PBE) results for a relaxed structure of Ce3Sm2In2.

Output
DOS at the Fermi energy = 14.57 states/eV/f.u.
mass density = 8.15 Mg/m³
spin magnetization = 1.1 μB/f.u.
final energy = -4.87 eV/atom

a = 6.0775 Å, b = 6.0775 Å, c = 6.6757 Å
α = 90.89°, β = 90.89°, γ = 51.78°
Atoms (fractional coordinates):
Ce  0.0000  0.0000  0.0000
Ce  0.1026  0.1026  0.3876
Ce  0.8974  0.8974  0.6124
Sm  0.2849  0.2849  0.8388
Sm  0.7151  0.7151  0.1612
In  0.4091  0.4091  0.3026
In  0.5909  0.5909  0.6974



[2]
DFT (GGA-PBE) results for a relaxed structure of Ce2SmIn4.

Output
DOS at the Fermi energy = 14.44 states/eV/f.u.
mass density = 7.00 Mg/m³
spin magnetization = 2.6 μB/f.u.
final energy = -4.16 eV/atom

a = 8.7071 Å, b = 8.7071 Å, c = 8.7071 Å
α = 145.48°, β = 145.48°, γ = 49.62°
Atoms (fractional coordinates):
Ce  0.2479  0.2479  0.0000
Ce  0.7521  0.7521  0.0000
Sm  0.5000  0.5000  0.0000
In  0.1130  0.6130  0.5000
In  0.3870  0.8870  0.5000
In  0.6130  0.1130  0.5000
In  0.8870  0.3870  0.5000



[3]
DFT (GGA-PBE) results for a relaxed structure of CeSm14In.

Output
DOS at the Fermi energy = 24.45 states/eV/f.u.
mass density = 7.50 Mg/m³
spin magnetization = 1.0 μB/f.u.
final energy = -4.69 eV/atom

a = 10.1702 Å, b = 7.1677 Å, c = 7.1677 Å
α = 90.00°, β = 90.00°, γ = 90.00°
Atoms (fractional coordinates):
Ce  0.0000  0.0000  0.0000
Sm  0.0000  0.5007  0.9984
Sm  0.0000  0.9984  0.5007
Sm  0.2441  0.2502  0.2502
Sm  0.2446  0.2500  0.7495
Sm  0.2452  0.7494  0.7494
Sm  0.2446  0.7495  0.2500
Sm  0.5000  0.9997  0.9997
Sm  0.5000  0.0004  0.4993
Sm  0.5000  0.4993  0.0004
Sm  0.5000  0.4999  0.4999
Sm  0.7554  0.2500  0.7495
Sm  0.7548  0.7494  0.7494
Sm  0.7554  0.7495  0.2500
Sm  0.7559  0.2502  0.2502
In  0.0000  0.4996  0.4996



[4]
DFT (GGA-PBE) results for a relaxed structure of CeSm4In2.

Output
DOS at the Fermi energy = 13.38 states/eV/f.u.
mass density = 7.52 Mg/m³
spin magnetization = 1.0 μB/f.u.
final energy = -4.47 eV/atom

a = 8.4175 Å, b = 6.7354 Å, c = 8.5779 Å
α = 90.00°, β = 118.14°, γ = 90.00°
Atoms (fractional coordinates):
Ce  0.2392  0.2500  0.3292
Ce  0.7608  0.7500  0.6708
Sm  0.0349  0.7500  0.5198
Sm  0.1058  0.2500  0.9100
Sm  0.4287  0.0027  0.7636
Sm  0.4287  0.4973  0.7636
Sm  0.5713  0.5027  0.2364
Sm  0.5713  0.9973  0.2364
Sm  0.8942  0.7500  0.0900
Sm  0.9651  0.2500  0.4802
In  0.2018  0.7500  0.9571
In  0.3315  0.7500  0.3869
In  0.6685  0.2500  0.6131
In  0.7982  0.2500  0.0429



[5]
DFT (GGA-PBE) results for a relaxed structure of CeSm7In4.

Output
DOS at the Fermi energy = 15.68 states/eV/f.u.
mass density = 7.34 Mg/m³
spin magnetization = 1.1 μB/f.u.
final energy = -4.28 eV/atom

a = 7.9116 Å, b = 7.9116 Å, c = 10.6210 Å
α = 120.86°, β = 120.86°, γ = 42.30°
Atoms (fractional coordinates):
Ce  0.0000  0.0000  0.0000
Sm  0.0645  0.0645  0.3971
Sm  0.2062  0.2062  0.8806
Sm  0.2771  0.2771  0.3349
Sm  0.5000  0.5000  0.0000
Sm  0.7229  0.7229  0.6651
Sm  0.7938  0.7938  0.1194
Sm  0.9355  0.9355  0.6029
In  0.3205  0.3205  0.6660
In  0.4417  0.4417  0.2463
In  0.5583  0.5583  0.7537
In  0.6795  0.6795  0.3340



[6]
DFT (GGA-PBE) results for a relaxed structure of CeSm6In2.

Output
DOS at the Fermi energy = 14.87 states/eV/f.u.
mass density = 6.61 Mg/m³
spin magnetization = 4.8 μB/f.u.
final energy = -4.21 eV/atom

a = 9.1664 Å, b = 9.1664 Å, c = 9.1664 Å
α = 146.24°, β = 131.04°, γ = 60.79°
Atoms (fractional coordinates):
Ce  0.0000  0.0000  0.0000
Sm  0.0870  0.8331  0.2539
Sm  0.2587  0.5000  0.7587
Sm  0.4208  0.1669  0.2539
Sm  0.5792  0.8331  0.7461
Sm  0.7413  0.5000  0.2413
Sm  0.9130  0.1669  0.7461
In  0.3309  0.3309  0.0000
In  0.6691  0.6691  0.0000



Q: Which formula does entry 4 have?
A: CeSm4In2



Q: Among the records above, which one has the lowest DOS at the Fermi energy?
A: CeSm4In2